DFT (PBE) results for a geometry-optimized BaSi2As2 structure.

Output
Fermi-level density of states = 2.08 states/eV per cell
Energy = -4.650 eV per atom

Structure (extended XYZ):
```
5
Lattice="4.783 0.000 0.000 0.000 4.783 0.000 2.391 2.391 5.430" Properties=species:S:1:pos:R:3 pbc="T T T"
Si 4.783 2.391 2.715
Si 2.391 4.783 2.715
Ba 0.000 0.000 0.000
As 2.391 2.391 1.799
As 4.783 4.783 3.630
```

=====

DFT (PBE) results for a geometry-optimized Ba2SiAs structure.

Output
Fermi-level density of states = 3.42 states/eV per cell
Energy = -3.646 eV per atom

Structure (extended XYZ):
```
4
Lattice="-3.171 -0.432 -2.114 1.048 -3.196 -1.842 -3.908 -5.284 6.943" Properties=species:S:1:pos:R:3 pbc="T T T"
Ba -2.377 -3.594 0.361
Ba -3.564 -4.818 6.332
As -3.682 -5.358 2.679
Si -2.269 -3.068 4.031
```

=====

DFT (PBE) results for a geometry-optimized Ba2Si2As structure.

Output
Fermi-level density of states = 6.01 states/eV per cell
Energy = -4.181 eV per atom

Structure (extended XYZ):
```
10
Lattice="-4.825 -1.584 5.907 -2.470 -6.378 -3.729 3.507 -2.622 2.161" Properties=species:S:1:pos:R:3 pbc="T T T"
Si -1.487 -2.676 -0.834
Si -4.102 -6.318 -1.008
Si -3.193 -1.644 3.186
Si -5.808 -5.286 3.012
Ba -0.844 -5.987 -0.377
Ba -3.569 -7.586 2.105
Ba -2.944 -4.597 4.716
Ba -0.219 -2.998 2.235
As 0.000 0.000 0.000
As -3.648 -3.981 1.089
```

=====

DFT (PBE) results for a geometry-optimized Ba2SiAs structure.

Output
Fermi-level density of states = 1.73 states/eV per cell
Energy = -4.025 eV per atom

Structure (extended XYZ):
```
4
Lattice="-0.307 -4.698 -4.983 5.474 -3.511 -2.169 -3.681 1.718 5.522" Properties=species:S:1:pos:R:3 pbc="T T T"
As 2.511 -3.461 -0.558
Si 2.262 -3.593 -3.130
Ba -0.756 -3.457 -1.444
Ba 0.053 -0.084 -0.073
```